! Ca2LaIn3 (PBE-GGA, optimized geometry); values from VASP
&SYSTEM
  ibrav = 0, nat = 12, ntyp = 3
/
ATOMIC_SPECIES
Ca 40.08 Ca.upf
La 138.91 La.upf
In 114.82 In.upf
ATOMIC_POSITIONS angstrom
Ca 0.000 0.000 0.000
Ca 0.000 0.000 3.907
Ca 2.743 2.775 0.000
Ca 2.743 -2.775 0.000
La 2.743 2.658 3.907
La 2.743 -2.658 3.907
In 2.743 5.502 1.887
In 2.743 5.502 5.928
In 2.743 0.000 1.840
In 2.743 0.000 5.975
In 2.743 -5.502 1.887
In 2.743 -5.502 5.928
CELL_PARAMETERS angstrom
2.743 -8.257 0.000
2.743 8.257 0.000
0.000 0.000 7.815
! Magnetic moment ... 0.000 μB per atom
! Final energy ... -40.17 eV per cell
! ΔE_f ... -0.490 eV per atom
! DOS at the Fermi energy ... 6.5 states/eV per cell

---

! Sc2AlNiRu (PBE-GGA, optimized geometry); values from VASP
&SYSTEM
  ibrav = 0, nat = 5, ntyp = 4
/
ATOMIC_SPECIES
Sc 44.96 Sc.upf
Al 26.98 Al.upf
Ni 58.69 Ni.upf
Ru 101.07 Ru.upf
ATOMIC_POSITIONS angstrom
Sc 0.000 2.507 0.000
Sc 2.507 0.000 0.000
Al 0.000 0.000 0.000
Ni 0.000 0.000 2.031
Ru 2.507 2.507 2.031
CELL_PARAMETERS angstrom
5.015 0.000 0.000
0.000 5.015 0.000
0.000 0.000 4.062
! Magnetic moment ... 0.190 μB per atom
! Final energy ... -28.04 eV per cell
! ΔE_f ... 0.685 eV per atom
! DOS at the Fermi energy ... 3.4 states/eV per cell

---

! Cs2CdW (PBE-GGA, optimized geometry); values from VASP
&SYSTEM
  ibrav = 0, nat = 8, ntyp = 3
/
ATOMIC_SPECIES
Cs 132.91 Cs.upf
Cd 112.41 Cd.upf
W 183.84 W.upf
ATOMIC_POSITIONS angstrom
Cs 0.000 0.000 0.000
Cs 2.899 2.899 -4.294
Cs 2.899 -2.899 4.294
Cs 0.000 5.797 0.000
Cd 5.797 2.899 2.147
Cd 0.000 2.899 6.441
W 5.797 -2.899 6.441
W 0.000 8.696 2.147
CELL_PARAMETERS angstrom
-5.797 5.797 8.588
5.797 -5.797 8.588
5.797 5.797 -8.588
! Magnetic moment ... 1.518 μB per atom
! Final energy ... -16.19 eV per cell
! ΔE_f ... 1.870 eV per atom
! DOS at the Fermi energy ... 8.0 states/eV per cell

---

! MnCu3Te (PBE-GGA, optimized geometry); values from VASP
&SYSTEM
  ibrav = 0, nat = 5, ntyp = 3
/
ATOMIC_SPECIES
Mn 54.94 Mn.upf
Cu 63.55 Cu.upf
Te 127.60 Te.upf
ATOMIC_POSITIONS angstrom
Mn 0.000 0.000 0.000
Cu 0.000 0.000 2.299
Cu 0.000 2.299 0.000
Cu 2.299 0.000 0.000
Te 2.299 2.299 2.299
CELL_PARAMETERS angstrom
4.598 0.000 0.000
0.000 4.598 0.000
0.000 0.000 4.598
! Magnetic moment ... 0.823 μB per atom
! Final energy ... -20.06 eV per cell
! Energy relative to the elements, uncorrected ... 0.908 eV/atom
! DOS at the Fermi energy ... 3.2 states/eV per cell

---

! Na3PuU3S8 (PBE-GGA, optimized geometry); values from VASP
&SYSTEM
  ibrav = 0, nat = 15, ntyp = 4
/
ATOMIC_SPECIES
Na 22.99 Na.upf
Pu 244.00 Pu.upf
U 238.03 U.upf
S 32.06 S.upf
ATOMIC_POSITIONS angstrom
Na -2.000 -1.155 6.709
Na -2.000 1.155 13.419
Na 0.000 2.309 6.709
Pu 0.000 0.000 10.064
U -4.000 0.000 10.064
U -2.000 1.155 3.355
U 2.000 1.155 3.355
S -2.036 -1.176 11.556
S 0.000 0.000 4.892
S 0.000 -2.351 8.571
S -2.036 1.176 8.571
S 2.036 -1.176 11.556
S 0.000 2.351 11.556
S 0.000 0.000 15.236
S 2.036 1.176 8.571
CELL_PARAMETERS angstrom
4.000 2.309 6.709
-4.000 2.309 6.709
0.000 -4.618 6.709
! Magnetic moment ... 0.142 μB per atom
! Final energy ... -105.99 eV per cell
! Energy relative to the elements, uncorrected ... -1.388 eV/atom
! DOS at the Fermi energy ... 23.1 states/eV per cell

---

! PWS2N (PBE-GGA, optimized geometry); values from VASP
&SYSTEM
  ibrav = 0, nat = 5, ntyp = 4
/
ATOMIC_SPECIES
P 30.97 P.upf
W 183.84 W.upf
S 32.06 S.upf
N 14.01 N.upf
ATOMIC_POSITIONS angstrom
P 0.000 0.000 0.000
W 2.037 2.037 0.000
S 0.000 2.037 1.942
S 2.037 0.000 1.942
N 0.000 0.000 1.942
CELL_PARAMETERS angstrom
4.073 0.000 0.000
0.000 4.073 0.000
0.000 0.000 3.885
! Magnetic moment ... 0.140 μB per atom
! Final energy ... -29.19 eV per cell
! Energy relative to the elements, uncorrected ... 1.152 eV/atom
! DOS at the Fermi energy ... 2.5 states/eV per cell